No. 1
! SrCaMg3 meta-GGA SCAN PBEsol geometry; values from VASP
&SYSTEM
  ibrav = 0, nat = 5, ntyp = 3
/
ATOMIC_SPECIES
Sr 87.62 Sr.upf
Ca 40.08 Ca.upf
Mg 24.30 Mg.upf
CELL_PARAMETERS angstrom
5.8041 0.0000 0.0000
0.0000 5.8041 0.0000
0.0000 0.0000 5.8041
ATOMIC_POSITIONS crystal
Sr 0.0000 0.0000 0.0000
Ca 0.5000 0.5000 0.5000
Mg 0.0000 0.5000 0.5000
Mg 0.5000 0.0000 0.5000
Mg 0.5000 0.5000 0.0000
! E_form   0.560 eV per atom
! Symmetry   Pm-3m (221)
! Total magnetization   0.00 μB/f.u.
! Electronic total energy   -44.06 eV for the cell shown

=====

No. 2
! CeTm3S6 meta-GGA SCAN PBEsol geometry; values from VASP
&SYSTEM
  ibrav = 0, nat = 20, ntyp = 3
/
ATOMIC_SPECIES
Ce 140.12 Ce.upf
Tm 168.93 Tm.upf
S 32.06 S.upf
CELL_PARAMETERS angstrom
10.8106 0.0000 0.0000
0.0000 3.8719 0.0000
-3.5753 0.0000 10.4888
ATOMIC_POSITIONS crystal
Ce 0.0496 0.2500 0.1950
Ce 0.9504 0.7500 0.8050
Tm 0.1593 0.2500 0.5855
Tm 0.3208 0.7500 0.9999
Tm 0.4407 0.2500 0.3336
Tm 0.5593 0.7500 0.6664
Tm 0.6792 0.2500 0.0001
Tm 0.8407 0.7500 0.4145
S 0.0839 0.7500 0.4056
S 0.1194 0.2500 0.9643
S 0.1950 0.7500 0.7508
S 0.2640 0.7500 0.2284
S 0.3926 0.2500 0.5577
S 0.4819 0.2500 0.1140
S 0.5181 0.7500 0.8860
S 0.6074 0.7500 0.4423
S 0.7360 0.2500 0.7716
S 0.8050 0.2500 0.2492
S 0.8806 0.7500 0.0357
S 0.9161 0.2500 0.5944
! Raw formation energy   -2283.1 kJ/mol of formula units
! Symmetry   P2_1/m (11)
! Total magnetization   0.98 μB/f.u.
! Electronic total energy   -562.98 eV for the cell shown

=====

No. 3
! MnCu2P meta-GGA SCAN PBEsol geometry; values from VASP
&SYSTEM
  ibrav = 0, nat = 4, ntyp = 3
/
ATOMIC_SPECIES
Mn 54.94 Mn.upf
Cu 63.55 Cu.upf
P 30.97 P.upf
CELL_PARAMETERS angstrom
3.2086 0.0000 0.0000
0.0000 3.2086 0.0000
0.0000 0.0000 4.7871
ATOMIC_POSITIONS crystal
Mn 0.0000 0.0000 0.0000
Cu 0.5000 0.5000 0.2518
Cu 0.5000 0.5000 0.7482
P 0.0000 0.0000 0.5000
! E_form   -0.044 eV per atom
! Symmetry   P4/mmm (123)
! Total magnetization   3.89 μB/f.u.
! Electronic total energy   -59.23 eV for the cell shown

=====

No. 4
! OsWNF2 meta-GGA SCAN PBEsol geometry; values from VASP
&SYSTEM
  ibrav = 0, nat = 5, ntyp = 4
/
ATOMIC_SPECIES
Os 190.23 Os.upf
W 183.84 W.upf
N 14.01 N.upf
F 19.00 F.upf
CELL_PARAMETERS angstrom
4.2743 0.0000 0.0000
0.0000 4.2743 0.0000
0.0000 0.0000 3.7383
ATOMIC_POSITIONS crystal
Os 0.0000 0.0000 0.0000
W 0.5000 0.5000 0.5000
N 0.0000 0.0000 0.5000
F 0.0000 0.5000 0.0000
F 0.5000 0.0000 0.0000
! Raw formation energy   433.6 kJ/mol of formula units
! Symmetry   P4/mmm (123)
! Total magnetization   4.25 μB/f.u.
! Electronic total energy   -153.44 eV for the cell shown

=====

No. 5
! SrZrCoHg2 meta-GGA SCAN PBEsol geometry; values from VASP
&SYSTEM
  ibrav = 0, nat = 5, ntyp = 4
/
ATOMIC_SPECIES
Sr 87.62 Sr.upf
Zr 91.22 Zr.upf
Co 58.93 Co.upf
Hg 200.59 Hg.upf
CELL_PARAMETERS angstrom
5.4697 0.0000 0.0000
0.0000 5.4697 0.0000
0.0000 0.0000 5.3870
ATOMIC_POSITIONS crystal
Sr 0.0000 0.0000 0.0000
Zr 0.0000 0.0000 0.5000
Co 0.5000 0.5000 0.5000
Hg 0.0000 0.5000 0.0000
Hg 0.5000 0.0000 0.0000
! E_form   1.748 eV per atom
! Symmetry   P4/mmm (123)
! Total magnetization   0.25 μB/f.u.
! Electronic total energy   -197.87 eV for the cell shown

=====

No. 6
! Rb2LiSi2 meta-GGA SCAN PBEsol geometry; values from VASP
&SYSTEM
  ibrav = 0, nat = 10, ntyp = 3
/
ATOMIC_SPECIES
Rb 85.47 Rb.upf
Li 6.94 Li.upf
Si 28.09 Si.upf
CELL_PARAMETERS angstrom
4.9825 0.0000 0.0000
0.0000 4.9825 0.0000
0.0000 0.0000 13.9610
ATOMIC_POSITIONS crystal
Rb 0.0000 0.5000 0.2500
Rb 0.0000 0.5000 0.7500
Rb 0.5000 0.0000 0.2500
Rb 0.5000 0.0000 0.7500
Li 0.0000 0.0000 0.0000
Li 0.5000 0.5000 0.5000
Si 0.0000 0.0000 0.4220
Si 0.0000 0.0000 0.5780
Si 0.5000 0.5000 0.0780
Si 0.5000 0.5000 0.9220
! Raw formation energy   185.0 kJ/mol of formula units
! Symmetry   I4/mmm (139)
! Total magnetization   0.00 μB/f.u.
! Electronic total energy   -123.97 eV for the cell shown

=====

No. 7
! TiOF3 meta-GGA SCAN PBEsol geometry; values from VASP
&SYSTEM
  ibrav = 0, nat = 5, ntyp = 3
/
ATOMIC_SPECIES
Ti 47.87 Ti.upf
O 16.00 O.upf
F 19.00 F.upf
CELL_PARAMETERS angstrom
3.8199 0.0000 0.0000
0.0000 3.8199 0.0000
0.0000 0.0000 3.8199
ATOMIC_POSITIONS crystal
Ti 0.0000 0.0000 0.0000
O 0.5000 0.5000 0.5000
F 0.0000 0.5000 0.5000
F 0.5000 0.0000 0.5000
F 0.5000 0.5000 0.0000
! Raw formation energy   -304.3 kJ/mol of formula units
! Symmetry   Pm-3m (221)
! Total magnetization   2.49 μB/f.u.
! Electronic total energy   -36.04 eV for the cell shown

=====

No. 8
! AlCoAu2 meta-GGA SCAN PBEsol geometry; values from VASP
&SYSTEM
  ibrav = 0, nat = 4, ntyp = 3
/
ATOMIC_SPECIES
Al 26.98 Al.upf
Co 58.93 Co.upf
Au 196.97 Au.upf
CELL_PARAMETERS angstrom
2.9224 0.0000 0.0000
0.0000 3.5569 0.0000
0.0000 0.0000 5.6211
ATOMIC_POSITIONS crystal
Al 0.0000 0.0000 0.0000
Co 0.0000 0.0000 0.5000
Au 0.5000 0.5000 0.2538
Au 0.5000 0.5000 0.7462
! E_form   -0.183 eV per atom
! Symmetry   Pmmm (47)
! Total magnetization   1.92 μB/f.u.
! Electronic total energy   -164.10 eV for the cell shown

=====

No. 9
! La5Al4Br4 meta-GGA SCAN PBEsol geometry; values from VASP
&SYSTEM
  ibrav = 0, nat = 26, ntyp = 3
/
ATOMIC_SPECIES
La 138.91 La.upf
Al 26.98 Al.upf
Br 79.90 Br.upf
CELL_PARAMETERS angstrom
-4.1066 4.1066 9.8928
4.1066 -4.1066 9.8928
4.1066 4.1066 -9.8928
ATOMIC_POSITIONS crystal
La 0.0492 0.5492 0.8220
La 0.2273 0.0492 0.5000
La 0.2500 0.2500 0.0000
La 0.2727 0.7727 0.8220
La 0.4508 0.2727 0.5000
La 0.5492 0.7273 0.5000
La 0.7273 0.2273 0.1780
La 0.7500 0.7500 0.0000
La 0.7727 0.9508 0.5000
La 0.9508 0.4508 0.1780
Al 0.0766 0.8625 0.5000
Al 0.1375 0.6375 0.2141
Al 0.3625 0.5766 0.5000
Al 0.4234 0.9234 0.7859
Al 0.5766 0.0766 0.2141
Al 0.6375 0.4234 0.5000
Al 0.8625 0.3625 0.7859
Al 0.9234 0.1375 0.5000
Br 0.0931 0.0931 0.0000
Br 0.1424 0.3576 0.5000
Br 0.3576 0.8576 0.2151
Br 0.4069 0.4069 0.0000
Br 0.5931 0.5931 0.0000
Br 0.6424 0.1424 0.7849
Br 0.8576 0.6424 0.5000
Br 0.9069 0.9069 0.0000
! Raw formation energy   -1562.3 kJ/mol of formula units
! Symmetry   I4/mcm (140)
! Total magnetization   0.00 μB/f.u.
! Electronic total energy   -681.12 eV for the cell shown

=====

No. 10
! ReSbIr2 meta-GGA SCAN PBEsol geometry; values from VASP
&SYSTEM
  ibrav = 0, nat = 4, ntyp = 3
/
ATOMIC_SPECIES
Re 186.21 Re.upf
Sb 121.76 Sb.upf
Ir 192.22 Ir.upf
CELL_PARAMETERS angstrom
4.7704 0.0000 0.0000
0.0000 4.7704 0.0000
0.0000 0.0000 2.7994
ATOMIC_POSITIONS crystal
Re 0.0000 0.0000 0.0000
Sb 0.5000 0.5000 0.0000
Ir 0.0000 0.5000 0.5000
Ir 0.5000 0.0000 0.5000
! Raw formation energy   191.5 kJ/mol of formula units
! Symmetry   P4/mmm (123)
! Total magnetization   1.01 μB/f.u.
! Electronic total energy   -248.57 eV for the cell shown

=====

No. 11
! KPb2Cl meta-GGA SCAN PBEsol geometry; values from VASP
&SYSTEM
  ibrav = 0, nat = 4, ntyp = 3
/
ATOMIC_SPECIES
K 39.10 K.upf
Pb 207.20 Pb.upf
Cl 35.45 Cl.upf
CELL_PARAMETERS angstrom
3.4710 0.0000 0.0000
0.0000 3.4710 0.0000
0.0000 0.0000 10.0053
ATOMIC_POSITIONS crystal
K 0.0000 0.0000 0.0000
Pb 0.5000 0.5000 0.2911
Pb 0.5000 0.5000 0.7089
Cl 0.0000 0.0000 0.5000
! Raw formation energy   -56.6 kJ/mol of formula units
! Symmetry   P4/mmm (123)
! Total magnetization   0.00 μB/f.u.
! Electronic total energy   -168.46 eV for the cell shown
! Offset from the most stable computed form   592 meV per atom

=====

No. 12
! LiTi2NbS meta-GGA SCAN PBEsol geometry; values from VASP
&SYSTEM
  ibrav = 0, nat = 5, ntyp = 4
/
ATOMIC_SPECIES
Li 6.94 Li.upf
Ti 47.87 Ti.upf
Nb 92.91 Nb.upf
S 32.06 S.upf
CELL_PARAMETERS angstrom
4.1998 0.0000 0.0000
0.0000 4.1998 0.0000
0.0000 0.0000 4.4149
ATOMIC_POSITIONS crystal
Li 0.0000 0.0000 0.0000
Ti 0.0000 0.5000 0.0000
Ti 0.5000 0.0000 0.0000
Nb 0.0000 0.0000 0.5000
S 0.5000 0.5000 0.5000
! Raw formation energy   406.2 kJ/mol of formula units
! Symmetry   P4/mmm (123)
! Total magnetization   0.00 μB/f.u.
! Electronic total energy   -73.00 eV for the cell shown

=====

No. 13
! Y5Cd3 meta-GGA SCAN PBEsol geometry; values from VASP
&SYSTEM
  ibrav = 0, nat = 16, ntyp = 2
/
ATOMIC_SPECIES
Y 88.91 Y.upf
Cd 112.41 Cd.upf
CELL_PARAMETERS angstrom
-6.0770 6.0770 2.8808
6.0770 -6.0770 2.8808
6.0770 6.0770 -2.8808
ATOMIC_POSITIONS crystal
Y 0.0832 0.7804 0.8636
Y 0.2196 0.0832 0.3028
Y 0.2500 0.7500 0.5000
Y 0.2804 0.5832 0.8636
Y 0.4168 0.2804 0.6972
Y 0.5832 0.7196 0.3028
Y 0.7196 0.4168 0.1364
Y 0.7500 0.2500 0.5000
Y 0.7804 0.9168 0.6972
Y 0.9168 0.2196 0.1364
Cd 0.1636 0.3364 0.5000
Cd 0.2500 0.2500 0.0000
Cd 0.3364 0.8364 0.1729
Cd 0.6636 0.1636 0.8271
Cd 0.7500 0.7500 0.0000
Cd 0.8364 0.6636 0.5000
! E_form   -0.329 eV per atom
! Symmetry   I4/mcm (140)
! Total magnetization   0.00 μB/f.u.
! Electronic total energy   -466.18 eV for the cell shown
! Offset from the most stable computed form   0 meV per atom